# 1
This record from Alexandria describes a relaxed structure of CaCr3As. The functional is GGA-PBE.

Results
Formation enthalpy at 0 K   0.635 eV per atom
Energy above the most stable polymorph in this dataset   0.000 eV per atom
Raw total energy   -32.3 eV per cell
Size of the total moment   11.46 μB/f.u.

Cell: 4.871 4.871 4.871 Å, 90.00 90.00 90.00°
Fractional positions:
1 Ca 0.000 0.000 0.000
2 Cr 0.000 0.500 0.500
3 Cr 0.500 0.000 0.500
4 Cr 0.500 0.500 0.000
5 As 0.500 0.500 0.500

=====

# 2
This record from Alexandria describes a relaxed structure of Ba2Mg2Ge. The functional is GGA-PBE.

Results
Formation enthalpy at 0 K   -0.101 eV per atom
Raw total energy   -24.3 eV per cell
Size of the total moment   0.00 μB/f.u.

Cell: 7.612 7.612 5.691 Å, 90.00 90.00 90.00°
Fractional positions:
1 Ba 0.184 0.316 0.000
2 Ba 0.316 0.816 0.000
3 Ba 0.684 0.184 0.000
4 Ba 0.816 0.684 0.000
5 Mg 0.136 0.636 0.500
6 Mg 0.364 0.136 0.500
7 Mg 0.636 0.864 0.500
8 Mg 0.864 0.364 0.500
9 Ge 0.000 0.000 0.500
10 Ge 0.500 0.500 0.500

=====

# 3
This record from Alexandria describes a relaxed structure of ErSc2Te3. The functional is GGA-PBE.

Results
Raw total energy   -67.5 eV per cell
Size of the total moment   0.00 μB/f.u.

Cell: 8.314 8.314 8.314 Å, 51.16 51.16 51.16°
Fractional positions:
1 Er 0.000 0.000 0.000
2 Er 0.500 0.500 0.500
3 Sc 0.165 0.165 0.165
4 Sc 0.335 0.335 0.335
5 Sc 0.665 0.665 0.665
6 Sc 0.835 0.835 0.835
7 Te 0.075 0.750 0.425
8 Te 0.250 0.575 0.925
9 Te 0.425 0.075 0.750
10 Te 0.575 0.925 0.250
11 Te 0.750 0.425 0.075
12 Te 0.925 0.250 0.575

=====

# 4
This record from Alexandria describes a relaxed structure of Pm2Tl3InSe6. The functional is GGA-PBE.

Results
Raw total energy   -52.9 eV per cell
Size of the total moment   0.00 μB/f.u.

Cell: 7.330 7.330 8.153 Å, 98.70 98.70 119.93°
Fractional positions:
1 Pm 0.166 0.834 0.000
2 Pm 0.834 0.166 0.000
3 Tl 0.000 0.000 0.500
4 Tl 0.328 0.672 0.500
5 Tl 0.672 0.328 0.500
6 In 0.500 0.500 0.000
7 Se 0.112 0.432 0.796
8 Se 0.249 0.249 0.212
9 Se 0.432 0.112 0.796
10 Se 0.568 0.888 0.204
11 Se 0.751 0.751 0.788
12 Se 0.888 0.568 0.204

=====

# 5
This record from Alexandria describes a relaxed structure of Os2S2F. The functional is GGA-PBE.

Results
Energy above the most stable polymorph in this dataset   0.382 eV per atom
Raw total energy   -62.3 eV per cell
Size of the total moment   0.00 μB/f.u.

Cell: 6.938 6.938 2.847 Å, 90.00 90.00 90.00°
Fractional positions:
1 Os 0.144 0.356 0.000
2 Os 0.356 0.856 0.000
3 Os 0.644 0.144 0.000
4 Os 0.856 0.644 0.000
5 S 0.154 0.654 0.500
6 S 0.346 0.154 0.500
7 S 0.654 0.846 0.500
8 S 0.846 0.346 0.500
9 F 0.000 0.000 0.000
10 F 0.500 0.500 0.000

=====

# 6
This record from Alexandria describes a relaxed structure of Fe2RePb. The functional is GGA-PBE.

Results
Formation enthalpy at 0 K   0.752 eV per atom
Raw total energy   -30.1 eV per cell
Size of the total moment   5.72 μB/f.u.

Cell: 5.198 5.198 5.198 Å, 143.82 128.69 64.39°
Fractional positions:
1 Fe 0.237 0.237 0.000
2 Fe 0.763 0.763 0.000
3 Re 0.000 0.500 0.500
4 Pb 0.500 0.000 0.500

=====

# 7
This record from Alexandria describes a relaxed structure of TlP2RuO. The functional is GGA-PBE.

Results
Energy above the most stable polymorph in this dataset   0.000 eV per atom
Raw total energy   -26.9 eV per cell
Size of the total moment   0.38 μB/f.u.

Cell: 4.894 4.894 3.723 Å, 90.00 90.00 90.00°
Fractional positions:
1 Tl 0.000 0.000 0.000
2 P 0.000 0.500 0.500
3 P 0.500 0.000 0.500
4 Ru 0.500 0.500 0.500
5 O 0.500 0.500 0.000

=====

# 8
This record from Alexandria describes a relaxed structure of LiGaTc. The functional is GGA-PBE.

Results
Formation enthalpy at 0 K   -0.065 eV per atom
Energy above the most stable polymorph in this dataset   0.147 eV per atom
Raw total energy   -31.0 eV per cell
Size of the total moment   0.00 μB/f.u.

Cell: 6.722 6.722 4.248 Å, 94.56 94.56 27.21°
Fractional positions:
1 Li 0.080 0.080 0.205
2 Li 0.920 0.920 0.795
3 Ga 0.404 0.404 0.308
4 Ga 0.596 0.596 0.692
5 Tc 0.253 0.253 0.757
6 Tc 0.747 0.747 0.243

=====

# 9
This record from Alexandria describes a relaxed structure of SiHg2Te. The functional is GGA-PBE.

Results
Energy above the most stable polymorph in this dataset   0.000 eV per atom
Raw total energy   -8.7 eV per cell
Size of the total moment   0.00 μB/f.u.

Cell: 3.923 3.923 8.402 Å, 102.73 102.73 59.82°
Fractional positions:
1 Si 0.000 0.000 0.000
2 Hg 0.262 0.262 0.777
3 Hg 0.509 0.509 0.514
4 Te 0.726 0.726 0.188

=====

# 10
This record from Alexandria describes a relaxed structure of CrIr2Se. The functional is GGA-PBE.

Results
Raw total energy   -29.8 eV per cell
Size of the total moment   2.55 μB/f.u.

Cell: 5.359 5.359 5.359 Å, 148.93 130.18 59.88°
Fractional positions:
1 Cr 0.000 0.000 0.000
2 Ir 0.268 0.768 0.500
3 Ir 0.732 0.232 0.500
4 Se 0.500 0.500 0.000

=====

# 11
This record from Alexandria describes a relaxed structure of RbNpSnI6. The functional is GGA-PBE.

Results
Raw total energy   -68.9 eV per cell
Size of the total moment   4.00 μB/f.u.

Cell: 11.524 11.524 11.524 Å, 121.60 119.90 88.72°
Fractional positions:
1 Rb 0.304 0.054 0.250
2 Rb 0.696 0.946 0.750
3 Np 0.000 0.500 0.500
4 Np 0.500 0.500 0.000
5 Sn 0.000 0.000 0.500
6 Sn 0.000 0.500 0.000
7 I 0.081 0.420 0.253
8 I 0.081 0.827 0.661
9 I 0.086 0.836 0.250
10 I 0.323 0.573 0.750
11 I 0.333 0.173 0.753
12 I 0.333 0.580 0.161
13 I 0.667 0.420 0.839
14 I 0.667 0.827 0.247
15 I 0.677 0.427 0.250
16 I 0.914 0.164 0.750
17 I 0.919 0.173 0.339
18 I 0.919 0.580 0.747

=====

# 12
This record from Alexandria describes a relaxed structure of Li3U2TaN6. The functional is GGA-PBE.

Results
Raw total energy   -103.1 eV per cell
Size of the total moment   1.98 μB/f.u.

Cell: 7.038 7.038 5.963 Å, 92.36 92.36 26.89°
Fractional positions:
1 Li 0.000 0.000 0.000
2 Li 0.376 0.376 0.763
3 Li 0.624 0.624 0.237
4 U 0.313 0.313 0.240
5 U 0.687 0.687 0.760
6 Ta 0.000 0.000 0.500
7 N 0.155 0.155 0.495
8 N 0.170 0.170 0.007
9 N 0.480 0.480 0.270
10 N 0.520 0.520 0.730
11 N 0.830 0.830 0.993
12 N 0.845 0.845 0.505

=====

# 13
This record from Alexandria describes a relaxed structure of K2RbLiF4. The functional is GGA-PBE.

Results
Raw total energy   -68.9 eV per cell
Size of the total moment   0.14 μB/f.u.

Cell: 6.546 6.546 12.911 Å, 90.00 90.00 147.35°
Fractional positions:
1 K 0.135 0.865 0.546
2 K 0.135 0.865 0.954
3 K 0.865 0.135 0.046
4 K 0.865 0.135 0.454
5 Rb 0.400 0.600 0.750
6 Rb 0.600 0.400 0.250
7 Li 0.325 0.675 0.250
8 Li 0.675 0.325 0.750
9 F 0.095 0.905 0.750
10 F 0.236 0.764 0.134
11 F 0.236 0.764 0.366
12 F 0.500 0.500 0.000
13 F 0.500 0.500 0.500
14 F 0.764 0.236 0.634
15 F 0.764 0.236 0.866
16 F 0.905 0.095 0.250

=====

# 14
This record from Alexandria describes a relaxed structure of Al2CoPb. The functional is GGA-PBE.

Results
Formation enthalpy at 0 K   -0.048 eV per atom
Raw total energy   -18.5 eV per cell
Size of the total moment   0.63 μB/f.u.

Cell: 2.970 2.970 8.247 Å, 90.00 90.00 90.00°
Fractional positions:
1 Al 0.000 0.000 0.167
2 Al 0.000 0.000 0.833
3 Co 0.500 0.500 0.000
4 Pb 0.500 0.500 0.500

=====

# 15
This record from Alexandria describes a relaxed structure of RbLi2RuF8. The functional is GGA-PBE.

Results
Raw total energy   -56.0 eV per cell
Size of the total moment   3.06 μB/f.u.

Cell: 5.005 5.005 9.393 Å, 90.00 90.00 120.00°
Fractional positions:
1 Rb 0.000 0.000 0.000
2 Li 0.333 0.667 0.720
3 Li 0.667 0.333 0.280
4 Ru 0.000 0.000 0.500
5 F 0.008 0.310 0.621
6 F 0.303 0.992 0.621
7 F 0.310 0.303 0.379
8 F 0.333 0.667 0.905
9 F 0.667 0.333 0.095
10 F 0.690 0.697 0.621
11 F 0.697 0.008 0.379
12 F 0.992 0.690 0.379

=====

# 16
This record from Alexandria describes a relaxed structure of LiCa2Ho. The functional is GGA-PBE.

Results
Formation enthalpy at 0 K   0.274 eV per atom
Energy above the most stable polymorph in this dataset   0.165 eV per atom
Raw total energy   -9.4 eV per cell
Size of the total moment   0.55 μB/f.u.

Cell: 12.711 12.711 12.711 Å, 16.14 16.14 16.14°
Fractional positions:
1 Li 0.000 0.000 0.000
2 Ca 0.409 0.409 0.409
3 Ca 0.591 0.591 0.591
4 Ho 0.500 0.500 0.500

=====

# 17
This record from Alexandria describes a relaxed structure of PuMn3Br9. The functional is GGA-PBE.

Results
Raw total energy   -138.5 eV per cell
Size of the total moment   10.00 μB/f.u.

Cell: 10.705 10.705 13.678 Å, 123.86 123.86 54.35°
Fractional positions:
1 Pu 0.226 0.774 0.500
2 Pu 0.774 0.226 0.000
3 Mn 0.015 0.261 0.828
4 Mn 0.261 0.015 0.328
5 Mn 0.287 0.436 0.669
6 Mn 0.436 0.287 0.169
7 Mn 0.661 0.800 0.212
8 Mn 0.800 0.661 0.712
9 Br 0.085 0.924 0.319
10 Br 0.092 0.186 0.190
11 Br 0.172 0.428 0.024
12 Br 0.186 0.092 0.690
13 Br 0.308 0.675 0.695
14 Br 0.378 0.428 0.369
15 Br 0.428 0.172 0.524
16 Br 0.428 0.378 0.869
17 Br 0.462 0.759 0.225
18 Br 0.504 0.985 0.087
19 Br 0.528 0.779 0.558
20 Br 0.675 0.308 0.195
21 Br 0.759 0.462 0.725
22 Br 0.779 0.528 0.058
23 Br 0.840 0.883 0.923
24 Br 0.883 0.840 0.423
25 Br 0.924 0.085 0.819
26 Br 0.985 0.504 0.587

=====

# 18
This record from Alexandria describes a relaxed structure of SmGd2Ta. The functional is GGA-PBE.

Results
Formation enthalpy at 0 K   0.623 eV per atom
Raw total energy   -42.2 eV per cell
Size of the total moment   14.94 μB/f.u.

Cell: 12.028 12.028 12.028 Å, 15.68 15.68 15.68°
Fractional positions:
1 Sm 0.000 0.000 0.000
2 Gd 0.418 0.418 0.418
3 Gd 0.582 0.582 0.582
4 Ta 0.500 0.500 0.500

=====

# 19
This record from Alexandria describes a relaxed structure of TbCuP. The functional is GGA-PBE.

Results
Formation enthalpy at 0 K   -1.012 eV per atom
Raw total energy   -17.2 eV per cell
Size of the total moment   0.00 μB/f.u.

Cell: 3.952 3.952 3.951 Å, 90.00 90.00 120.00°
Fractional positions:
1 Tb 0.000 0.000 0.000
2 Cu 0.333 0.667 0.500
3 P 0.667 0.333 0.500

=====

# 20
This record from Alexandria describes a relaxed structure of HgP. The functional is GGA-PBE.

Results
Formation enthalpy at 0 K   0.208 eV per atom
Energy above the most stable polymorph in this dataset   0.179 eV per atom
Raw total energy   -15.9 eV per cell
Size of the total moment   0.00 μB/f.u.

Cell: 6.562 6.562 8.529 Å, 103.87 103.87 26.91°
Fractional positions:
1 Hg 0.000 0.000 0.000
2 Hg 0.036 0.036 0.635
3 Hg 0.737 0.737 0.938
4 P 0.277 0.277 0.563
5 P 0.333 0.333 0.335
6 P 0.703 0.703 0.360